An optimized crystal structure of BaInSi2Pd. Source: OQMD via LeMat-Bulk, functional PBE.

VASP energy   -0.3351 Ry/atom
Volume   227.1 Å³/cell

Structure (CIF):
```
data_BaInSi2Pd
_chemical_formula_sum 'Ba2 In2 Si4 Pd2'
_cell_length_a 4.601
_cell_length_b 4.601
_cell_length_c 10.726
_cell_angle_alpha 90.00
_cell_angle_beta 90.00
_cell_angle_gamma 90.00
_space_group_name_H-M_alt 'I 4 m m'
_space_group_IT_number 107
_space_group_name_Hall 'I 4 -2'
loop_
_atom_site_label
_atom_site_type_symbol
_atom_site_fract_x
_atom_site_fract_y
_atom_site_fract_z
_atom_site_occupancy
Ba1 Ba 0.000 0.000 0.000 1
In1 In 0.000 0.000 0.393 1
Si1 Si 0.000 0.500 0.241 1
Pd1 Pd 0.000 0.000 0.654 1
```